# 1
Material: NdYMgPb
Method: DFT, PBE-GGA
State: optimized geometry

abc: 7.6878 7.6878 7.6878
angles: 90.00 90.00 90.00
Space group F-43m (No. 216)
Unique sites:
Nd: 0.0000 0.0000 0.0000 [4 per cell]
Y: 0.0000 0.0000 0.5000 [4 per cell]
Mg: 0.2500 0.2500 0.7500 [4 per cell]
Pb: 0.2500 0.2500 0.2500 [4 per cell]

## Properties
**Raw total energy**: -4.453 eV per atom
**Calculated volume**: 454.4 Å³ per cell
**Formation energy**: -0.320 eV/atom
**Crystal system**: cubic


# 2
Material: NdMgZnPb
Method: DFT, PBE-GGA
State: optimized geometry

abc: 7.3798 7.3798 7.3798
angles: 90.00 90.00 90.00
Space group F-43m (No. 216)
Unique sites:
Nd: 0.0000 0.0000 0.0000 [4 per cell]
Mg: 0.0000 0.0000 0.5000 [4 per cell]
Zn: 0.2500 0.2500 0.7500 [4 per cell]
Pb: 0.2500 0.2500 0.2500 [4 per cell]

## Properties
**Raw total energy**: -3.061 eV per atom
**Calculated volume**: 401.9 Å³ per cell
**Formation energy**: -0.225 eV/atom
**Crystal system**: cubic